Below is a relaxed structure of CsLaTiO4, with properties calculated at the PBE-GGA level.

Structure (extended XYZ):
```
14
Lattice="6.235 0.000 0.001 0.000 6.240 0.000 -2.439 0.000 7.768" Properties=species:S:1:pos:R:3 pbc="T T T"
Ti 0.782 4.680 2.691
Ti 3.013 1.560 5.078
Cs 2.065 4.680 7.196
Cs 1.731 1.560 0.574
O -0.432 3.273 2.614
O 2.291 4.680 1.657
O 1.504 1.560 6.113
O 4.227 0.153 5.156
O 4.227 2.967 5.156
O -0.432 6.087 2.614
O 1.538 4.680 4.315
O 2.258 1.560 3.454
La 3.860 4.680 3.522
La -0.065 1.560 4.248
```

## Properties
Raw formation energy = -2.930 eV/atom
N(E_F) = 0.0 states/eV/cell
Calculated total energy = -108.03 eV per cell
Magnetization = 0.00 μB/cell